Run A
Entry from Alexandria via LeMat-Bulk: crystalline CrRePt2 at its relaxed geometry (PBE).

Values from the calculation:
Fermi-level density of states: 1.131 states/eV per atom
Symmetry: P4mm

Unit cell a=3.246 b=3.246 c=5.612 alpha=90.00 beta=90.00 gamma=90.00
Site moments in Bohr magnetons follow the coordinates.
Sites, in units of the cell vectors:
Pt: 0.500 0.500 0.254  -0.08
Pt: 0.000 0.000 0.983  0.05
Cr: 0.500 0.500 0.749  1.48
Re: 0.000 0.000 0.514  -0.39

=====

Run B
Entry from Alexandria via LeMat-Bulk: crystalline CrRePt2 at its relaxed geometry (PBE).

Values from the calculation:
Fermi-level density of states: 1.059 states/eV per atom
Symmetry: Cm

Unit cell a=4.767 b=4.767 c=4.801 alpha=79.92 beta=79.92 gamma=33.26
Site moments in Bohr magnetons follow the coordinates.
Sites, in units of the cell vectors:
Pt: 0.993 0.993 0.014  0.05
Pt: 0.754 0.754 0.734  0.01
Re: 0.507 0.507 0.504  -0.12
Cr: 0.245 0.245 0.248  2.07

=====

Run C
Entry from Alexandria via LeMat-Bulk: crystalline CrRePt2 at its relaxed geometry (PBE).

Values from the calculation:
Fermi-level density of states: 1.399 states/eV per atom
Symmetry: R3m

Unit cell a=9.149 b=9.149 c=9.149 alpha=17.21 beta=17.21 gamma=17.21
Site moments in Bohr magnetons follow the coordinates.
Sites, in units of the cell vectors:
Cr: 0.751 0.751 0.751  0.98
Pt: 0.005 0.005 0.005  0.09
Pt: 0.248 0.248 0.248  0.03
Re: 0.496 0.496 0.496  0.01

=====

Run D
Entry from Alexandria via LeMat-Bulk: crystalline CrRePt2 at its relaxed geometry (PBE).

Values from the calculation:
Fermi-level density of states: 1.175 states/eV per atom
Symmetry: Imm2

Unit cell a=4.713 b=4.713 c=4.713 alpha=131.10 beta=131.01 gamma=71.73
Site moments in Bohr magnetons follow the coordinates.
Sites, in units of the cell vectors:
Pt: 0.750 0.250 0.500  0.04
Pt: 0.000 0.000 0.000  0.05
Cr: 0.251 0.751 0.500  1.60
Re: 0.499 0.499 0.000  -0.56

=====

Bottom line: run B, by a margin of 23 meV per atom.